(1)
The following is a GGA-PBE calculation of a relaxed structure of CePmS4, from the Alexandria database.

Cell lengths 7.312, 7.312, 7.105 Å; angles 114.04, 114.04, 100.17 degrees
Element x y z (fractional)
Ce1 0.127 0.873 0.750
Ce2 0.873 0.127 0.250
Pm1 0.479 0.521 0.250
Pm2 0.521 0.479 0.750
S1 0.139 0.264 0.744
S2 0.173 0.534 0.403
S3 0.264 0.139 0.244
S4 0.466 0.827 0.097
S5 0.534 0.173 0.903
S6 0.736 0.861 0.756
S7 0.827 0.466 0.597
S8 0.861 0.736 0.256

Calculated values
- magnetization (μB per formula unit) = 0.000
- uncorrected energy (eV/atom) = -6.116

(2)
The following is a GGA-PBE calculation of a relaxed structure of Ba2ScAlS5, from the Alexandria database.

Cell lengths 9.276, 9.276, 12.867 Å; angles 90.00, 90.00, 155.25 degrees
Element x y z (fractional)
Ba1 0.121 0.879 0.500
Ba2 0.130 0.870 0.133
Ba3 0.870 0.130 0.633
Ba4 0.879 0.121 0.000
Sc1 0.209 0.791 0.840
Sc2 0.791 0.209 0.340
Al1 0.435 0.565 0.249
Al2 0.565 0.435 0.749
S1 0.054 0.946 0.845
S2 0.295 0.705 0.469
S3 0.313 0.687 0.198
S4 0.344 0.656 0.820
S5 0.497 0.503 0.101
S6 0.503 0.497 0.601
S7 0.656 0.344 0.320
S8 0.687 0.313 0.698
S9 0.705 0.295 0.969
S10 0.946 0.054 0.345

Calculated values
- magnetization (μB per formula unit) = 0.000
- uncorrected energy (eV/atom) = -5.650

(3)
The following is a GGA-PBE calculation of a relaxed structure of YSc2Ni3, from the Alexandria database.

Cell lengths 3.233, 3.233, 9.788 Å; angles 90.00, 90.00, 90.00 degrees
Element x y z (fractional)
Y1 0.000 0.000 0.000
Sc1 0.000 0.000 0.340
Sc2 0.000 0.000 0.660
Ni1 0.500 0.500 0.191
Ni2 0.500 0.500 0.500
Ni3 0.500 0.500 0.809

Calculated values
- magnetization (μB per formula unit) = 0.000
- E_form (meV/atom) = -446